Record 1
VASP calculation (PBE-GGA) on an optimized crystal structure of Er2FePd.

POSCAR file:
```
Er2FePd
1.0
3.377 0.000 0.000
0.000 3.377 0.000
0.000 0.000 6.782
Er Fe Pd
2 1 1
Cartesian
0.000 0.000 1.598
0.000 0.000 5.184
1.689 1.689 0.000
1.689 1.689 3.391
```

Results
offset from the most stable computed form = 0 meV per atom
calculated volume = 77.4 Å³ per cell
formation energy = -0.417 eV/atom
DOS at the Fermi energy = 2.4 states/eV per cell

Record 2
VASP calculation (PBE-GGA) on an optimized crystal structure of ErFe4Pd.

POSCAR file:
```
ErFe4Pd
1.0
0.000 3.523 3.523
3.523 0.000 3.523
3.523 3.523 0.000
Er Fe Pd
1 4 1
Cartesian
0.000 0.000 0.000
2.641 2.641 2.641
4.404 4.404 2.641
4.404 2.641 4.404
2.641 4.404 4.404
5.284 5.284 5.284
```

Results
calculated volume = 87.4 Å³ per cell
formation energy = -0.119 eV/atom
DOS at the Fermi energy = 5.8 states/eV per cell

Record 3
VASP calculation (PBE-GGA) on an optimized crystal structure of Er2FePd.

POSCAR file:
```
Er2FePd
1.0
0.000 3.393 3.393
3.393 0.000 3.393
3.393 3.393 0.000
Er Fe Pd
2 1 1
Cartesian
1.697 1.697 1.697
5.090 5.090 5.090
0.000 0.000 0.000
3.393 3.393 3.393
```

Results
offset from the most stable computed form = 61 meV per atom
calculated volume = 78.2 Å³ per cell
formation energy = -0.355 eV/atom
DOS at the Fermi energy = 3.6 states/eV per cell

Record 4
VASP calculation (PBE-GGA) on an optimized crystal structure of ErScFePd.

POSCAR file:
```
ErScFePd
1.0
0.000 3.301 3.301
3.301 0.000 3.301
3.301 3.301 0.000
Er Sc Fe Pd
1 1 1 1
Cartesian
0.000 0.000 0.000
3.301 3.301 3.301
1.651 1.651 1.651
4.952 4.952 4.952
```

Results
calculated volume = 72.0 Å³ per cell
formation energy = -0.387 eV/atom
DOS at the Fermi energy = 1.8 states/eV per cell

Record 5
VASP calculation (PBE-GGA) on an optimized crystal structure of ErThFePd.

POSCAR file:
```
ErThFePd
1.0
0.000 3.496 3.496
3.496 0.000 3.496
3.496 3.496 0.000
Er Th Fe Pd
1 1 1 1
Cartesian
0.000 0.000 0.000
3.496 3.496 3.496
5.243 5.243 5.243
1.748 1.748 1.748
```

Results
calculated volume = 85.4 Å³ per cell
formation energy = -0.309 eV/atom
DOS at the Fermi energy = 4.6 states/eV per cell

Record 6
VASP calculation (PBE-GGA) on an optimized crystal structure of YErFePd.

POSCAR file:
```
YErFePd
1.0
0.000 3.424 3.424
3.424 0.000 3.424
3.424 3.424 0.000
Y Er Fe Pd
1 1 1 1
Cartesian
0.000 0.000 0.000
3.424 3.424 3.424
5.136 5.136 5.136
1.712 1.712 1.712
```

Results
calculated volume = 80.3 Å³ per cell
formation energy = -0.321 eV/atom
DOS at the Fermi energy = 4.5 states/eV per cell

Record 7
VASP calculation (PBE-GGA) on an optimized crystal structure of Pm2ErFe9.

POSCAR file:
```
Pm2ErFe9
1.0
2.564 1.480 8.238
-2.564 1.480 8.238
0.000 -2.961 8.238
Pm Er Fe
2 1 9
Cartesian
0.000 0.000 3.492
0.000 0.000 21.221
0.000 0.000 0.000
-1.271 -0.734 10.201
0.000 0.000 8.225
0.000 -1.467 14.511
-1.271 0.734 14.511
0.000 0.000 12.356
1.271 -0.734 10.201
0.000 1.467 10.201
0.000 0.000 16.488
1.271 0.734 14.511
```

Results
calculated volume = 187.6 Å³ per cell
formation energy = -0.014 eV/atom
DOS at the Fermi energy = 12.6 states/eV per cell

Record 8
VASP calculation (PBE-GGA) on an optimized crystal structure of PmEr2Fe.

POSCAR file:
```
PmEr2Fe
1.0
3.343 0.000 0.000
0.000 3.343 0.000
0.000 0.000 9.030
Pm Er Fe
1 2 1
Cartesian
0.000 0.000 0.000
1.671 1.671 2.928
1.671 1.671 6.102
0.000 0.000 4.515
```

Results
offset from the most stable computed form = 0 meV per atom
calculated volume = 100.9 Å³ per cell
formation energy = 0.047 eV/atom
DOS at the Fermi energy = 2.6 states/eV per cell

Record 9
VASP calculation (PBE-GGA) on an optimized crystal structure of PmErFe.

POSCAR file:
```
PmErFe
1.0
3.451 -6.030 0.000
3.451 6.030 0.000
0.000 0.000 7.327
Pm Er Fe
4 4 4
Cartesian
3.451 3.645 6.501
3.451 2.385 2.838
3.451 -2.385 4.490
3.451 -3.645 0.826
1.726 0.501 5.495
1.726 -0.501 1.832
5.177 0.501 5.495
5.177 -0.501 1.832
3.451 4.939 3.970
3.451 1.091 0.306
3.451 -1.091 7.021
3.451 -4.939 3.357
```

Results
offset from the most stable computed form = 0 meV per atom
calculated volume = 305.0 Å³ per cell
formation energy = 0.055 eV/atom
DOS at the Fermi energy = 14.3 states/eV per cell

Record 10
VASP calculation (PBE-GGA) on an optimized crystal structure of Pm2Er5Fe2.

POSCAR file:
```
Pm2Er5Fe2
1.0
9.979 -3.491 0.000
9.979 3.491 0.000
0.000 0.000 6.959
Pm Er Fe
4 10 4
Cartesian
4.627 0.000 0.000
5.352 0.000 3.480
14.606 0.000 3.480
15.331 0.000 0.000
0.000 0.000 0.000
7.877 2.227 4.720
7.877 1.264 1.241
12.081 2.227 4.720
12.081 1.264 1.241
9.979 0.000 3.480
7.877 -1.264 5.719
7.877 -2.227 2.239
12.081 -1.264 5.719
12.081 -2.227 2.239
9.979 2.722 2.736
9.979 0.769 6.216
9.979 -0.769 0.743
9.979 -2.722 4.223
```

Results
calculated volume = 484.9 Å³ per cell
formation energy = 0.022 eV/atom
DOS at the Fermi energy = 24.8 states/eV per cell

Record 11
VASP calculation (PBE-GGA) on an optimized crystal structure of PmEr3Fe.

POSCAR file:
```
PmEr3Fe
1.0
5.243 0.000 0.000
0.000 5.243 0.000
0.000 0.000 5.243
Pm Er Fe
1 3 1
Cartesian
0.000 0.000 0.000
0.000 2.621 2.621
2.621 0.000 2.621
2.621 2.621 0.000
2.621 2.621 2.621
```

Results
calculated volume = 144.1 Å³ per cell
formation energy = 0.083 eV/atom
DOS at the Fermi energy = 8.2 states/eV per cell

Record 12
VASP calculation (PBE-GGA) on an optimized crystal structure of PmErFe.

POSCAR file:
```
PmErFe
1.0
-1.680 1.680 6.462
1.680 -1.680 6.462
1.680 1.680 -6.462
Pm Er Fe
1 1 1
Cartesian
0.000 0.000 0.000
0.000 0.000 9.686
0.000 0.000 4.774
```

Results
offset from the most stable computed form = 43 meV per atom
calculated volume = 73.0 Å³ per cell
formation energy = 0.098 eV/atom
DOS at the Fermi energy = 2.0 states/eV per cell